A geometry-optimized TbGeRuRh structure, computed with GGA-PBE.

a b c (Å): 4.5544 4.5544 4.5544
angles (deg): 60.00 60.00 60.00
Last column: nearest neighbours and their distance in Å.
Positions (direct):
Tb1 0.0000 0.0000 0.0000  4 Ru 2.79, 4 Rh 2.79
Ge1 0.5000 0.5000 0.5000  4 Ru 2.79, 4 Rh 2.79
Ru1 0.7500 0.7500 0.7500  4 Ge 2.79, 4 Tb 2.79
Rh1 0.2500 0.2500 0.2500  4 Ge 2.79, 4 Tb 2.79

## Properties
- Uncorrected energy: -7.0137 eV/atom
- Total moment: 0.000 μB per atom
- Fermi-level density of states: 0.235 states/eV/atom
- Symmetry: F-43m (216)
- ΔE_f: -0.54 eV/atom